Below is a PBEsol-optimized structure of ZrI3, with properties calculated at the SCAN level.

The structure in POSCAR format:
```
ZrI3
1.0
7.272 0.000 0.000
-3.636 6.298 0.000
0.000 0.000 6.441
Zr I
2 6
direct
0.000 0.000 0.000 Zr
0.000 0.000 0.500 Zr
0.000 0.330 0.250 I
0.000 0.670 0.750 I
0.330 0.000 0.250 I
0.330 0.330 0.750 I
0.670 0.000 0.750 I
0.670 0.670 0.250 I
```

Properties
As for the total magnetization: 0.00 μB/atom. Its uncorrected formation energy is -1.036 eV per atom. Its space group is P6_3/mcm.